No. 1
An optimized crystal structure of CsYGaTe4. Source: Alexandria via LeMat-Bulk, functional GGA-PBE.

Properties
- DFT total energy: -4.15 eV/atom
- ρ: 5.1 g/cm3
- Formation energy without anion corrections: -0.88 eV/atom
- Magnetization: 0.0 μB/f.u.

Unit cell a=7.6912 b=6.6108 c=10.7846 alpha=90.00 beta=106.20 gamma=90.00
Space group P2_1/m (No. 11)
Unique sites:
Cs1 0.2337 0.2500 0.0510 x2
Y1 0.2540 0.2500 0.5500 x2
Ga1 0.2625 0.7500 0.3355 x2
Te1 0.0160 0.5109 0.6973 x4
Te2 0.4285 0.7500 0.5818 x2
Te3 0.4604 0.7500 0.1793 x2



No. 2
An optimized crystal structure of CsTi3Ga. Source: Alexandria via LeMat-Bulk, functional GGA-PBE.

Properties
- DFT total energy: -4.46 eV/atom
- ρ: 4.2 g/cm3
- Magnetization: 7.2 μB/f.u.
- Formation energy: 1.054 eV per atom

Unit cell a=5.1729 b=5.1729 c=5.1729 alpha=90.00 beta=90.00 gamma=90.00
Space group Pm-3m (No. 221)
Unique sites:
Cs1 0.0000 0.0000 0.0000 x1
Ti1 0.0000 0.5000 0.5000 x3
Ga1 0.5000 0.5000 0.5000 x1



No. 3
An optimized crystal structure of Cs3TiGa. Source: Alexandria via LeMat-Bulk, functional GGA-PBE.

Properties
- DFT total energy: -1.63 eV/atom
- ρ: 2.7 g/cm3
- Magnetization: 6.0 μB/f.u.
- Formation energy: 1.064 eV per atom

Unit cell a=6.8191 b=6.8191 c=6.8191 alpha=90.00 beta=90.00 gamma=90.00
Space group Pm-3m (No. 221)
Unique sites:
Cs1 0.0000 0.0000 0.5000 x3
Ti1 0.0000 0.0000 0.0000 x1
Ga1 0.5000 0.5000 0.5000 x1



No. 4
An optimized crystal structure of CsTiGa3. Source: Alexandria via LeMat-Bulk, functional GGA-PBE.

Properties
- DFT total energy: -3.36 eV/atom
- ρ: 4.4 g/cm3
- Energy above the most stable polymorph in this dataset: 0.000 eV/atom
- Magnetization: 1.6 μB/f.u.
- Formation energy: 0.206 eV per atom

Unit cell a=5.2651 b=5.2651 c=5.2651 alpha=90.00 beta=90.00 gamma=90.00
Space group Pm-3m (No. 221)
Unique sites:
Cs1 0.0000 0.0000 0.0000 x1
Ti1 0.5000 0.5000 0.5000 x1
Ga1 0.0000 0.5000 0.5000 x3



No. 5
An optimized crystal structure of CsTiGa3. Source: Alexandria via LeMat-Bulk, functional GGA-PBE.

Properties
- DFT total energy: -1.91 eV/atom
- ρ: 3.3 g/cm3
- Energy above the most stable polymorph in this dataset: 1.450 eV/atom
- Magnetization: 2.3 μB/f.u.
- Formation energy: 1.656 eV per atom

Unit cell a=5.8024 b=5.8024 c=5.8024 alpha=90.00 beta=90.00 gamma=90.00
Space group Pm-3m (No. 221)
Unique sites:
Cs1 0.0000 0.0000 0.0000 x1
Ti1 0.5000 0.5000 0.5000 x1
Ga1 0.0000 0.0000 0.5000 x3



No. 6
An optimized crystal structure of CsTlGa. Source: Alexandria via LeMat-Bulk, functional GGA-PBE.

Properties
- DFT total energy: -2.16 eV/atom
- ρ: 6.0 g/cm3
- Energy above the most stable polymorph in this dataset: 0.003 eV/atom
- Magnetization: 0.0 μB/f.u.
- Formation energy: -0.078 eV per atom

Unit cell a=13.0206 b=4.8601 c=8.9643 alpha=90.00 beta=126.89 gamma=90.00
Space group C2/m (No. 12)
Unique sites:
Cs1 0.0828 0.0000 0.3672 x4
Tl1 0.2182 0.5000 0.8342 x4
Ga1 0.1157 0.5000 0.0420 x4



No. 7
An optimized crystal structure of Cs3Tl2Ga4. Source: Alexandria via LeMat-Bulk, functional GGA-PBE.

Properties
- DFT total energy: -2.16 eV/atom
- ρ: 5.2 g/cm3
- Magnetization: 0.0 μB/f.u.
- Formation energy: -0.004 eV per atom

Unit cell a=5.2126 b=7.5673 c=9.8761 alpha=73.02 beta=74.97 gamma=70.39
Space group P-1 (No. 2)
Unique sites:
Cs1 0.0000 0.0000 0.0000 x1
Cs2 0.3877 0.8652 0.3583 x2
Tl1 0.3038 0.6414 0.7551 x2
Ga1 0.0939 0.4460 0.3661 x2
Ga2 0.2294 0.4648 0.0733 x2



No. 8
An optimized crystal structure of CsTlGa. Source: Alexandria via LeMat-Bulk, functional GGA-PBE.

Properties
- DFT total energy: -2.04 eV/atom
- ρ: 6.0 g/cm3
- Energy above the most stable polymorph in this dataset: 0.123 eV/atom
- Magnetization: 0.0 μB/f.u.
- Formation energy: 0.041 eV per atom

Unit cell a=4.0257 b=4.0257 c=13.9758 alpha=90.00 beta=90.00 gamma=90.00
Space group I4mm (No. 107)
Unique sites:
Cs1 0.0000 0.0000 0.0000 x2
Tl1 0.0000 0.0000 0.2858 x2
Ga1 0.0000 0.0000 0.7063 x2



No. 9
An optimized crystal structure of CsTlGa4. Source: Alexandria via LeMat-Bulk, functional GGA-PBE.

Properties
- DFT total energy: -2.45 eV/atom
- ρ: 6.4 g/cm3
- Magnetization: 0.0 μB/f.u.
- Formation energy: 0.109 eV per atom

Unit cell a=8.6075 b=8.6075 c=8.6075 alpha=90.00 beta=90.00 gamma=90.00
Space group F-43m (No. 216)
Unique sites:
Cs1 0.0000 0.0000 0.0000 x4
Tl1 0.2500 0.2500 0.7500 x4
Ga1 0.1232 0.1232 0.3768 x16



No. 10
An optimized crystal structure of Cs2Tl5Ga4. Source: Alexandria via LeMat-Bulk, functional GGA-PBE.

Properties
- DFT total energy: -2.33 eV/atom
- ρ: 6.8 g/cm3
- Magnetization: 0.0 μB/f.u.
- Formation energy: 0.004 eV per atom

Unit cell a=14.0452 b=7.2717 c=9.5812 alpha=90.00 beta=129.06 gamma=90.00
Space group C2/m (No. 12)
Unique sites:
Cs1 0.2073 0.0000 0.1499 x4
Tl1 0.0000 0.5000 0.0000 x2
Tl2 0.0411 0.2541 0.3608 x8
Ga1 0.1416 0.0000 0.7054 x4
Ga2 0.2254 0.5000 0.3948 x4



No. 11
An optimized crystal structure of CsTl4Ga. Source: Alexandria via LeMat-Bulk, functional GGA-PBE.

Properties
- DFT total energy: -2.12 eV/atom
- ρ: 8.0 g/cm3
- Energy above the most stable polymorph in this dataset: 0.201 eV/atom
- Magnetization: 0.0 μB/f.u.
- Formation energy: 0.100 eV per atom

Unit cell a=9.4606 b=9.4606 c=9.4606 alpha=90.00 beta=90.00 gamma=90.00
Space group F-43m (No. 216)
Unique sites:
Cs1 0.0000 0.0000 0.0000 x4
Tl1 0.1237 0.1237 0.6237 x16
Ga1 0.2500 0.2500 0.2500 x4



No. 12
An optimized crystal structure of Cs2Tl7Ga. Source: Alexandria via LeMat-Bulk, functional GGA-PBE.

Properties
- DFT total energy: -2.17 eV/atom
- ρ: 7.9 g/cm3
- Magnetization: 0.0 μB/f.u.
- Formation energy: -0.043 eV per atom

Unit cell a=5.3488 b=5.3488 c=12.9309 alpha=90.00 beta=90.00 gamma=90.00
Space group P-4m2 (No. 115)
Unique sites:
Cs1 0.0000 0.5000 0.2438 x2
Tl1 0.0000 0.0000 0.0000 x1
Tl2 0.0000 0.0000 0.5000 x1
Tl3 0.0000 0.5000 0.6375 x2
Tl4 0.0000 0.5000 0.8800 x2
Tl5 0.5000 0.5000 0.5000 x1
Ga1 0.5000 0.5000 0.0000 x1



No. 13
An optimized crystal structure of Cs3Tl4Ga2. Source: Alexandria via LeMat-Bulk, functional GGA-PBE.

Properties
- DFT total energy: -2.07 eV/atom
- ρ: 6.1 g/cm3
- Magnetization: 0.0 μB/f.u.
- Formation energy: -0.060 eV per atom

Unit cell a=18.8016 b=10.6205 c=7.9537 alpha=90.00 beta=112.03 gamma=90.00
Space group C2/c (No. 15)
Unique sites:
Cs1 0.0000 0.0092 0.2500 x4
Cs2 0.1039 0.3854 0.1001 x8
Tl1 0.1353 0.2293 0.6329 x8
Tl2 0.2184 0.1035 0.0525 x8
Ga1 0.2333 0.1377 0.4252 x8



No. 14
An optimized crystal structure of CsTlGa. Source: Alexandria via LeMat-Bulk, functional GGA-PBE.

Properties
- DFT total energy: -2.16 eV/atom
- ρ: 5.5 g/cm3
- Energy above the most stable polymorph in this dataset: 0.000 eV/atom
- Magnetization: 0.0 μB/f.u.
- Formation energy: -0.082 eV per atom

Unit cell a=4.6601 b=5.2905 c=19.7688 alpha=90.00 beta=90.00 gamma=90.00
Space group P2_12_12_1 (No. 19)
Unique sites:
Cs1 0.2484 0.0762 0.1637 x4
Tl1 0.2480 0.8860 0.9246 x4
Ga1 0.2480 0.3972 0.9978 x4



No. 15
An optimized crystal structure of CsTlGa. Source: Alexandria via LeMat-Bulk, functional GGA-PBE.

Properties
- DFT total energy: -2.09 eV/atom
- ρ: 5.3 g/cm3
- Energy above the most stable polymorph in this dataset: 0.076 eV/atom
- Magnetization: 0.0 μB/f.u.
- Formation energy: -0.005 eV per atom

Unit cell a=4.8392 b=4.8392 c=6.2453 alpha=90.00 beta=90.00 gamma=120.00
Space group P3m1 (No. 156)
Unique sites:
Cs1 0.0000 0.0000 0.0000 x1
Tl1 0.6667 0.3333 0.4998 x1
Ga1 0.3333 0.6667 0.4991 x1



No. 16
An optimized crystal structure of Cs2Tl5Ga. Source: Alexandria via LeMat-Bulk, functional GGA-PBE.

Properties
- DFT total energy: -2.05 eV/atom
- ρ: 6.7 g/cm3
- Magnetization: 0.0 μB/f.u.
- Formation energy: 0.017 eV per atom

Unit cell a=9.7277 b=9.7392 c=14.2961 alpha=90.00 beta=90.00 gamma=90.00
Space group Fmm2 (No. 42)
Unique sites:
Cs1 0.2500 0.2500 0.0000 x8
Tl1 0.0000 0.0000 0.3927 x4
Tl2 0.0000 0.2490 0.7421 x8
Tl3 0.2492 0.0000 0.7417 x8
Ga1 0.0000 0.0000 0.6155 x4



No. 17
An optimized crystal structure of CsTl4Ga2. Source: Alexandria via LeMat-Bulk, functional GGA-PBE.

Properties
- DFT total energy: -2.34 eV/atom
- ρ: 8.2 g/cm3
- Magnetization: 0.0 μB/f.u.
- Formation energy: -0.003 eV per atom

Unit cell a=5.5177 b=15.8381 c=5.0763 alpha=90.00 beta=90.00 gamma=90.00
Space group Cmmm (No. 65)
Unique sites:
Cs1 0.0000 0.0000 0.0000 x2
Tl1 0.0000 0.1793 0.5000 x4
Tl2 0.0000 0.3143 0.0000 x4
Ga1 0.0000 0.4121 0.5000 x4



No. 18
An optimized crystal structure of Cs3TlGa. Source: Alexandria via LeMat-Bulk, functional GGA-PBE.

Properties
- DFT total energy: -1.29 eV/atom
- ρ: 3.0 g/cm3
- Energy above the most stable polymorph in this dataset: 0.296 eV/atom
- Magnetization: 0.0 μB/f.u.
- Formation energy: 0.301 eV per atom

Unit cell a=7.1620 b=7.1620 c=7.1620 alpha=90.00 beta=90.00 gamma=90.00
Space group Pm-3m (No. 221)
Unique sites:
Cs1 0.0000 0.0000 0.5000 x3
Tl1 0.5000 0.5000 0.5000 x1
Ga1 0.0000 0.0000 0.0000 x1



No. 19
An optimized crystal structure of Cs3TlGa. Source: Alexandria via LeMat-Bulk, functional GGA-PBE.

Properties
- DFT total energy: -1.59 eV/atom
- ρ: 3.6 g/cm3
- Energy above the most stable polymorph in this dataset: 0.000 eV/atom
- Magnetization: 0.0 μB/f.u.
- Formation energy: 0.005 eV per atom

Unit cell a=4.7109 b=11.4177 c=11.8517 alpha=81.74 beta=89.48 gamma=80.32
Space group P1 (No. 1)
Unique sites:
Cs1 0.0000 0.0000 0.0000 x1
Cs2 0.1143 0.6595 0.3290 x1
Cs3 0.3717 0.2653 0.1989 x1
Cs4 0.5386 0.8320 0.6044 x1
Cs5 0.7063 0.5611 0.9306 x1
Cs6 0.8657 0.2346 0.5714 x1
Tl1 0.1932 0.5125 0.6713 x1
Tl2 0.3792 0.2870 0.8406 x1
Ga1 0.5068 0.9410 0.2898 x1
Ga2 0.9798 0.0032 0.3393 x1



No. 20
An optimized crystal structure of CsTl4Ga. Source: Alexandria via LeMat-Bulk, functional GGA-PBE.

Properties
- DFT total energy: -2.33 eV/atom
- ρ: 7.3 g/cm3
- Energy above the most stable polymorph in this dataset: 0.000 eV/atom
- Magnetization: 0.0 μB/f.u.
- Formation energy: -0.101 eV per atom

Unit cell a=5.3455 b=9.2094 c=18.7959 alpha=90.00 beta=90.00 gamma=90.00
Space group Immm (No. 71)
Unique sites:
Cs1 0.0000 0.0000 0.1945 x4
Tl1 0.0000 0.1932 0.0000 x4
Tl2 0.0000 0.2156 0.3967 x8
Tl3 0.0000 0.5000 0.1463 x4
Ga1 0.2488 0.0000 0.5000 x4



No. 21
An optimized crystal structure of CsTl11Ga. Source: Alexandria via LeMat-Bulk, functional GGA-PBE.

Properties
- DFT total energy: -2.31 eV/atom
- ρ: 9.6 g/cm3
- Magnetization: 0.0 μB/f.u.
- Formation energy: -0.005 eV per atom

Unit cell a=6.4640 b=16.0609 c=8.6080 alpha=90.00 beta=109.25 gamma=90.00
Space group C2/m (No. 12)
Unique sites:
Cs1 0.0000 0.0000 0.0000 x2
Tl1 0.0000 0.0000 0.5000 x2
Tl2 0.1002 0.3940 0.2244 x8
Tl3 0.1853 0.1768 0.3631 x8
Tl4 0.2500 0.2500 0.0000 x4
Ga1 0.0000 0.5000 0.5000 x2



No. 22
An optimized crystal structure of Cs5Tl2Ga4. Source: Alexandria via LeMat-Bulk, functional GGA-PBE.

Properties
- DFT total energy: -1.95 eV/atom
- ρ: 3.4 g/cm3
- Magnetization: 0.0 μB/f.u.
- Formation energy: -0.031 eV per atom

Unit cell a=9.2328 b=12.0012 c=12.0528 alpha=90.00 beta=92.70 gamma=90.00
Space group C2/m (No. 12)
Unique sites:
Cs1 0.0000 0.0000 0.0000 x2
Cs2 0.1056 0.3164 0.3226 x8
Tl1 0.2489 0.5000 0.7300 x4
Ga1 0.0515 0.0000 0.6886 x4
Ga2 0.1414 0.0000 0.4851 x4



No. 23
An optimized crystal structure of CsV2GaW. Source: Alexandria via LeMat-Bulk, functional GGA-PBE.

Properties
- DFT total energy: -4.05 eV/atom
- ρ: 7.1 g/cm3
- Magnetization: 1.0 μB/f.u.
- Formation energy: 2.960 eV per atom

Unit cell a=4.7431 b=4.7431 c=5.0534 alpha=90.00 beta=90.00 gamma=90.00
Space group P4/mmm (No. 123)
Unique sites:
Cs1 0.0000 0.0000 0.0000 x1
V1 0.0000 0.5000 0.0000 x2
Ga1 0.5000 0.5000 0.5000 x1
W1 0.0000 0.0000 0.5000 x1



No. 24
An optimized crystal structure of CsYVGa2. Source: Alexandria via LeMat-Bulk, functional GGA-PBE.

Properties
- DFT total energy: -3.76 eV/atom
- ρ: 5.0 g/cm3
- Magnetization: 2.3 μB/f.u.
- Formation energy: 0.739 eV per atom

Unit cell a=5.0384 b=5.0384 c=5.4098 alpha=90.00 beta=90.00 gamma=90.00
Space group P4/mmm (No. 123)
Unique sites:
Cs1 0.0000 0.0000 0.0000 x1
Y1 0.5000 0.5000 0.0000 x1
V1 0.0000 0.0000 0.5000 x1
Ga1 0.0000 0.5000 0.5000 x2



No. 25
An optimized crystal structure of CsVZnGa2. Source: Alexandria via LeMat-Bulk, functional GGA-PBE.

Properties
- DFT total energy: -2.21 eV/atom
- ρ: 4.4 g/cm3
- Magnetization: 0.1 μB/f.u.
- Formation energy: 1.250 eV per atom

Unit cell a=4.9335 b=4.9335 c=5.9803 alpha=90.00 beta=90.00 gamma=90.00
Space group P4/mmm (No. 123)
Unique sites:
Cs1 0.0000 0.0000 0.0000 x1
V1 0.5000 0.5000 0.0000 x1
Zn1 0.0000 0.0000 0.5000 x1
Ga1 0.0000 0.5000 0.5000 x2